Here is an optimized crystal structure of PmCdTe2 from the Alexandria database. Energies are from GGA-PBE.

Unit cell a=5.2889 b=5.2889 c=3.9812 alpha=90.00 beta=90.00 gamma=90.00
Closest atoms and distances in Å follow each position.
Space group P4/mmm (No. 123)
Unique sites:
Pm (0.0000, 0.0000, 0.0000)  8 Te 3.31
Cd (0.5000, 0.5000, 0.0000)  8 Te 3.31
Te (0.0000, 0.5000, 0.5000)  4 Cd 3.31, 4 Pm 3.31

Calculated values
Calculated density   7643 kg/m³
Total magnetic moment   0.0 μB per cell
Total DFT energy (no corrections)   -3.755 eV per atom
Polymorph energy (0 for the lowest one)   0.00 eV per formula unit
Raw formation energy   -768 meV per atom